# La3HfSb5

A PBEsol-optimized structure of La3HfSb5 (SCAN, Alexandria via LeMat-Bulk).

Properties
space-group type	P6_3/mcm
calculated volume	27.26	Å³/atom
raw total energy	-777.04	eV per cell
energy relative to the elements, uncorrected	-1136.4	meV/atom
crystal system	hexagonal

Lattice parameters (Å, degrees): 6.287 9.492 9.492 120.00 90.00 90.00
Sites, in units of the cell vectors:
1 La 0.750 0.383 0.383
2 La 0.250 0.617 0.617
3 La 0.250 0.383 0.000
4 La 0.750 0.000 0.617
5 La 0.250 0.000 0.383
6 La 0.750 0.617 0.000
7 Sb 0.000 0.333 0.667
8 Sb 0.250 0.259 0.259
9 Sb 0.250 0.000 0.741
10 Sb 0.500 0.667 0.333
11 Sb 0.750 0.259 0.000
12 Sb 0.750 0.000 0.259
13 Sb 0.000 0.667 0.333
14 Sb 0.500 0.333 0.667
15 Sb 0.750 0.741 0.741
16 Sb 0.250 0.741 0.000
17 Hf 0.000 0.000 0.000
18 Hf 0.500 0.000 0.000


# La3HfSc

A PBEsol-optimized structure of La3HfSc (SCAN, Alexandria via LeMat-Bulk).

Properties
space-group type	Pm-3m
calculated volume	32.51	Å³/atom
calculated formation energy	23.416	kcal/mol of atoms
raw total energy	-201.15	eV per cell
crystal system	cubic

Lattice parameters (Å, degrees): 5.457 5.457 5.457 90.00 90.00 90.00
Site moments in Bohr magnetons follow the coordinates.
Sites, in units of the cell vectors:
1 La 0.000 0.500 0.000  0.10
2 La 0.000 0.000 0.500  0.10
3 La 0.500 0.000 0.000  0.10
4 Sc 0.000 0.000 0.000  0.48
5 Hf 0.500 0.500 0.500  -0.17


# LaHf3Sn

A PBEsol-optimized structure of LaHf3Sn (SCAN, Alexandria via LeMat-Bulk).

Properties
space-group type	Pm-3m
calculated volume	29.49	Å³/atom
calculated formation energy	17.873	kcal/mol of atoms
raw total energy	-263.17	eV per cell
crystal system	cubic

Lattice parameters (Å, degrees): 5.283 5.283 5.283 90.00 90.00 90.00
Sites, in units of the cell vectors:
1 Sn 0.000 0.000 0.000
2 Hf 0.000 0.000 0.500
3 Hf 0.000 0.500 0.000
4 Hf 0.500 0.000 0.000
5 La 0.500 0.500 0.500


# LaHfTc2

A PBEsol-optimized structure of LaHfTc2 (SCAN, Alexandria via LeMat-Bulk).

Properties
space-group type	Fm-3m
calculated volume	18.60	Å³/atom
calculated formation energy	0.618	kcal/mol of atoms
raw total energy	-175.79	eV per cell
crystal system	cubic

Lattice parameters (Å, degrees): 4.721 4.721 4.721 60.00 60.00 60.00
Sites, in units of the cell vectors:
1 Tc 0.750 0.750 0.750
2 Tc 0.250 0.250 0.250
3 La 0.000 0.000 0.000
4 Hf 0.500 0.500 0.500


# La2Hf2Te

A PBEsol-optimized structure of La2Hf2Te (SCAN, Alexandria via LeMat-Bulk).

Properties
space-group type	I4/mmm
calculated volume	26.58	Å³/atom
raw total energy	-245.69	eV per cell
energy relative to the elements, uncorrected	623.8	meV/atom
crystal system	tetragonal

Lattice parameters (Å, degrees): 4.098 4.098 8.428 104.07 104.07 90.00
Sites, in units of the cell vectors:
1 La 0.250 0.750 0.500
2 La 0.750 0.250 0.500
3 Hf 0.416 0.416 0.833
4 Hf 0.584 0.584 0.167
5 Te 0.000 0.000 0.000


# LaHfTl2Te

A PBEsol-optimized structure of LaHfTl2Te (SCAN, Alexandria via LeMat-Bulk).

Properties
space-group type	P4/mmm
calculated volume	39.32	Å³/atom
raw total energy	-282.92	eV per cell
energy relative to the elements, uncorrected	965.9	meV/atom
crystal system	tetragonal

Lattice parameters (Å, degrees): 5.816 5.815 5.815 90.00 90.00 90.00
Sites, in units of the cell vectors:
1 Te 0.500 0.000 0.000
2 La 0.000 0.000 0.000
3 Tl 0.000 0.500 0.000
4 Tl 0.000 0.000 0.500
5 Hf 0.500 0.500 0.500